# 1
A relaxed NaNd2Pd9 crystal. Source: the Alexandria database, functional PBE-GGA.

```
NaNd2Pd9
1.0
4.200 0.000 0.000
0.000 4.200 0.000
0.000 0.000 12.165
Na Nd Pd
1 2 9
Direct
0.000 0.000 0.000
0.000 0.000 0.326
0.000 0.000 0.674
0.000 0.500 0.158
0.000 0.500 0.500
0.000 0.500 0.842
0.500 0.000 0.158
0.500 0.000 0.500
0.500 0.000 0.842
0.500 0.500 0.000
0.500 0.500 0.329
0.500 0.500 0.671
```

Output
Space group ... P4/mmm (123)
E_tot ... -5.31 eV/atom
Calculated volume ... 214.6 Å³/cell

***

# 2
A relaxed PmHoTlRu crystal. Source: the Alexandria database, functional PBE-GGA.

```
PmHoTlRu
1.0
0.000 3.634 3.634
3.634 0.000 3.634
3.634 3.634 0.000
Pm Ho Tl Ru
1 1 1 1
Direct
0.000 0.000 0.000
0.500 0.500 0.500
0.750 0.750 0.750
0.250 0.250 0.250
```

Output
Space group ... F-43m (216)
E_tot ... -5.45 eV/atom
Calculated volume ... 96.0 Å³/cell

***

# 3
A relaxed FeSiSN2 crystal. Source: the Alexandria database, functional PBE-GGA.

```
FeSiSN2
1.0
3.578 0.000 0.000
0.000 3.578 0.000
0.000 0.000 4.909
Fe Si S N
1 1 1 2
Direct
0.000 0.000 0.000
0.500 0.500 0.500
0.000 0.000 0.500
0.000 0.500 0.000
0.500 0.000 0.000
```

Output
Space group ... P4/mmm (123)
Calculated volume ... 62.9 Å³/cell
E_form (uncorrected) ... 0.849 eV per atom

***

# 4
A relaxed Dy3HoEr2Se6 crystal. Source: the Alexandria database, functional PBE-GGA.

```
Dy3HoEr2Se6
1.0
3.494 -6.098 0.000
3.494 6.098 0.000
-2.347 0.000 6.651
Dy Ho Er Se
3 1 2 6
Direct
0.000 0.000 0.000
0.334 0.666 0.000
0.666 0.334 0.000
0.500 0.500 0.500
0.167 0.833 0.500
0.833 0.167 0.500
0.083 0.418 0.253
0.248 0.248 0.747
0.418 0.083 0.253
0.582 0.917 0.747
0.752 0.752 0.253
0.917 0.582 0.747
```

Output
Space group ... C2/m (12)
Calculated volume ... 283.4 Å³/cell
E_form (uncorrected) ... -1.727 eV per atom

***

# 5
A relaxed Li5Ca2Mg2Hg crystal. Source: the Alexandria database, functional PBE-GGA.

```
Li5Ca2Mg2Hg
1.0
11.598 0.000 0.000
0.000 11.598 0.000
0.000 0.000 3.685
Li Ca Mg Hg
10 4 4 2
Direct
0.000 0.500 0.000
0.054 0.178 0.000
0.178 0.946 0.000
0.322 0.446 0.000
0.446 0.678 0.000
0.500 0.000 0.000
0.554 0.322 0.000
0.678 0.554 0.000
0.822 0.054 0.000
0.946 0.822 0.000
0.172 0.672 0.500
0.328 0.172 0.500
0.672 0.828 0.500
0.828 0.328 0.500
0.127 0.373 0.500
0.373 0.873 0.500
0.627 0.127 0.500
0.873 0.627 0.500
0.000 0.000 0.500
0.500 0.500 0.500
```

Output
Space group ... P4/mbm (127)
E_tot ... -1.76 eV/atom
Calculated volume ... 495.8 Å³/cell